Below is crystalline LiPmThOs at its relaxed geometry, with properties calculated at the PBE-GGA level.

It has space group F-43m (No. 216), with a = 7.159 Å, b = 7.159 Å, c = 7.159 Å, α = 90.00°, β = 90.00° and γ = 90.00°. The inequivalent atoms are Li at (0.000, 0.000, 0.000), Pm at (0.250, 0.250, 0.750), Th at (0.250, 0.250, 0.250) and Os at (0.000, 0.000, 0.500).

The calculation puts the formation energy from the elements at -0.113 eV per atom.

Below is crystalline BaAlIr2 at its relaxed geometry, with properties calculated at the PBE-GGA level.

It has space group F-43m (No. 216), with a = 6.868 Å, b = 6.868 Å, c = 6.868 Å, α = 90.00°, β = 90.00° and γ = 90.00°. The inequivalent atoms are Ba at (0.000, 0.000, 0.000), Al at (0.250, 0.250, 0.750), Ir at (0.000, 0.000, 0.500) and Ir at (0.250, 0.250, 0.250).

For the polymorph energy (0 for the lowest one), the calculation gives 1026 meV/atom. The calculation puts the formation energy from the elements at 0.643 eV per atom.

Below is crystalline Al2S3 at its relaxed geometry, with properties calculated at the PBE-GGA level.

It has space group R-3c (No. 167, hexagonal axes), with a = 6.0729 Å, b = 6.0729 Å, c = 16.4544 Å, α = 90.00°, β = 90.00° and γ = 120.00°. The inequivalent atoms are Al at (0.0000, 0.0000, 0.1513) and S at (0.0000, 0.3058, 0.2500).

For the uncorrected formation energy, the calculation gives -1.023 eV per atom.

Below is crystalline CeThPd2 at its relaxed geometry, with properties calculated at the PBE-GGA level.

It has space group P4/mmm (No. 123), with a = 5.072 Å, b = 5.072 Å, c = 3.641 Å, α = 90.00°, β = 90.00° and γ = 90.00°. The inequivalent atoms are Ce at (0.000, 0.000, 0.000), Th at (0.500, 0.500, 0.000) and Pd at (0.000, 0.500, 0.500).

For the polymorph energy (0 for the lowest one), the calculation gives 4 meV/atom. The calculation puts the formation energy from the elements at -0.621 eV per atom.

Below is crystalline CsNi2Pb at its relaxed geometry, with properties calculated at the PBE-GGA level.

It has space group I-42d (No. 122), with a = 7.982 Å, b = 7.982 Å, c = 7.824 Å, α = 90.00°, β = 90.00° and γ = 90.00°. The inequivalent atoms are Cs at (0.000, 0.000, 0.000), Ni at (0.150, 0.250, 0.625) and Pb at (0.000, 0.000, 0.500).

For the polymorph energy (0 for the lowest one), the calculation gives 0 meV/atom. The calculation puts the formation energy from the elements at 0.759 eV per atom.

Below is crystalline RbInTe2O8 at its relaxed geometry, with properties calculated at the PBE-GGA level.

It has space group P-3 (No. 147), with a = 5.4534 Å, b = 5.4534 Å, c = 9.1233 Å, α = 90.00°, β = 90.00° and γ = 120.00°. The inequivalent atoms are Rb at (0.0000, 0.0000, 0.0000), In at (0.0000, 0.0000, 0.5000), Te at (0.3333, 0.6667, 0.7090), O at (0.0281, 0.3283, 0.6451) and O at (0.3333, 0.6667, 0.9087).

For the uncorrected formation energy, the calculation gives -1.114 eV per atom.

Below is crystalline CeHo2Hf at its relaxed geometry, with properties calculated at the PBE-GGA level.

It has space group R-3m (No. 166, hexagonal axes), with a = 3.2909 Å, b = 3.2909 Å, c = 35.5312 Å, α = 90.00°, β = 90.00° and γ = 120.00°. The inequivalent atoms are Ce at (0.0000, 0.0000, 0.0000), Ho at (0.0000, 0.0000, 0.4127) and Hf at (0.0000, 0.0000, 0.5000).

For the polymorph energy (0 for the lowest one), the calculation gives 215 meV/atom. The calculation puts the formation energy from the elements at 0.351 eV per atom.

Below is crystalline GaSe2Cl at its relaxed geometry, with properties calculated at the PBE-GGA level.

It has space group R-3m (No. 166, hexagonal axes), with a = 2.8514 Å, b = 2.8514 Å, c = 38.4515 Å, α = 90.00°, β = 90.00° and γ = 120.00°. The inequivalent atoms are Ga at (0.0000, 0.0000, 0.0000), Se at (0.0000, 0.0000, 0.0699) and Cl at (0.0000, 0.0000, 0.5000).

For the polymorph energy (0 for the lowest one), the calculation gives 483 meV/atom. For the uncorrected formation energy, the calculation gives 0.215 eV per atom.

Below is crystalline SbH6Pd12 at its relaxed geometry, with properties calculated at the PBE-GGA level.

It has space group R-3 (No. 148, hexagonal axes), with a = 10.9654 Å, b = 10.9654 Å, c = 6.5488 Å, α = 90.00°, β = 90.00° and γ = 120.00°. The inequivalent atoms are Sb at (0.0000, 0.0000, 0.0000), H at (0.0016, 0.2074, 0.6338), Pd at (0.0227, 0.8541, 0.6715) and Pd at (0.0387, 0.7747, 0.0931).

For the polymorph energy (0 for the lowest one), the calculation gives 0 meV/atom.

Below is crystalline TePb2Au2 at its relaxed geometry, with properties calculated at the PBE-GGA level.

It has space group I4/mmm (No. 139), with a = 4.024 Å, b = 4.024 Å, c = 16.778 Å, α = 90.00°, β = 90.00° and γ = 90.00°. The inequivalent atoms are Te at (0.000, 0.000, 0.000), Pb at (0.000, 0.000, 0.392) and Au at (0.000, 0.500, 0.250).

For the polymorph energy (0 for the lowest one), the calculation gives 10 meV/atom. For the uncorrected formation energy, the calculation gives -0.085 eV per atom.

Below is crystalline LiTiTlS3 at its relaxed geometry, with properties calculated at the PBE-GGA level.

It has space group P2_1/m (No. 11), with a = 8.323 Å, b = 3.636 Å, c = 9.102 Å, α = 90.00°, β = 109.71° and γ = 90.00°. The inequivalent atoms are Li at (0.066, 0.250, 0.111), Ti at (0.321, 0.750, 0.342), Tl at (0.227, 0.250, 0.753), S at (0.137, 0.250, 0.381), S at (0.227, 0.750, 0.071) and S at (0.469, 0.750, 0.639).

For the uncorrected formation energy, the calculation gives -1.045 eV per atom.

Below is crystalline Rb2TlFe at its relaxed geometry, with properties calculated at the PBE-GGA level.

It has space group Fm-3m (No. 225), with a = 8.762 Å, b = 8.762 Å, c = 8.762 Å, α = 90.00°, β = 90.00° and γ = 90.00°. The inequivalent atoms are Rb at (0.250, 0.250, 0.250), Tl at (0.000, 0.000, 0.000) and Fe at (0.000, 0.000, 0.500).

For the polymorph energy (0 for the lowest one), the calculation gives 228 meV/atom. The calculation puts the formation energy from the elements at 0.840 eV per atom.

Below is crystalline InPbBr2 at its relaxed geometry, with properties calculated at the PBE-GGA level.

It has space group I-4m2 (No. 119), with a = 4.525 Å, b = 4.525 Å, c = 12.363 Å, α = 90.00°, β = 90.00° and γ = 90.00°. The inequivalent atoms are In at (0.000, 0.000, 0.000), Pb at (0.000, 0.500, 0.750), Br at (0.000, 0.000, 0.500) and Br at (0.000, 0.500, 0.250).

For the polymorph energy (0 for the lowest one), the calculation gives 140 meV/atom. For the uncorrected formation energy, the calculation gives -0.400 eV per atom.

Below is crystalline Li4CaHf2 at its relaxed geometry, with properties calculated at the PBE-GGA level.

It has space group I4/mmm (No. 139), with a = 5.164 Å, b = 5.164 Å, c = 15.105 Å, α = 90.00°, β = 90.00° and γ = 90.00°. The inequivalent atoms are Li at (0.000, 0.000, 0.208), Li at (0.000, 0.500, 0.000), Ca at (0.000, 0.000, 0.000) and Hf at (0.000, 0.000, 0.412).

The calculation puts the formation energy from the elements at 0.916 eV per atom.

Below is crystalline Pr3Nd3Y2 at its relaxed geometry, with properties calculated at the PBE-GGA level.

It has space group Immm (No. 71), with a = 5.197 Å, b = 5.197 Å, c = 20.652 Å, α = 90.00°, β = 90.00° and γ = 90.00°. The inequivalent atoms are Pr at (0.000, 0.000, 0.000), Pr at (0.000, 0.500, 0.127), Nd at (0.000, 0.000, 0.500), Nd at (0.000, 0.500, 0.373) and Y at (0.000, 0.000, 0.250).

For the polymorph energy (0 for the lowest one), the calculation gives 0 meV/atom. The calculation puts the formation energy from the elements at 0.015 eV per atom.

Below is crystalline Pm2ErRu at its relaxed geometry, with properties calculated at the PBE-GGA level.

It has space group Pnma (No. 62), with a = 7.352 Å, b = 9.513 Å, c = 6.364 Å, α = 90.00°, β = 90.00° and γ = 90.00°. The inequivalent atoms are Pm at (0.178, 0.065, 0.170), Er at (0.044, 0.250, 0.643) and Ru at (0.115, 0.750, 0.962).

For the polymorph energy (0 for the lowest one), the calculation gives 0 meV/atom. The calculation puts the formation energy from the elements at -0.252 eV per atom.

Below is crystalline Dy2HoTl2Ag2 at its relaxed geometry, with properties calculated at the PBE-GGA level.

It has space group R-3m (No. 166, hexagonal axes), with a = 4.9020 Å, b = 4.9020 Å, c = 25.6756 Å, α = 90.00°, β = 90.00° and γ = 120.00°. The inequivalent atoms are Dy at (0.0000, 0.0000, 0.1319), Ho at (0.0000, 0.0000, 0.0000), Tl at (0.0000, 0.0000, 0.2662) and Ag at (0.0000, 0.0000, 0.4303).

The calculation puts the formation energy from the elements at -0.134 eV per atom.

Below is crystalline CaAl12Pt4 at its relaxed geometry, with properties calculated at the PBE-GGA level.

It has space group Im-3 (No. 204), with a = 8.833 Å, b = 8.833 Å, c = 8.833 Å, α = 90.00°, β = 90.00° and γ = 90.00°. The inequivalent atoms are Ca at (0.000, 0.000, 0.000), Al at (0.000, 0.344, 0.164) and Pt at (0.250, 0.250, 0.250).

The calculation puts the formation energy from the elements at -0.329 eV per atom.

Below is crystalline Co2Pt at its relaxed geometry, with properties calculated at the PBE-GGA level.

It has space group I4/mmm (No. 139), with a = 2.670 Å, b = 2.670 Å, c = 10.661 Å, α = 90.00°, β = 90.00° and γ = 90.00°. The inequivalent atoms are Co at (0.000, 0.000, 0.177) and Pt at (0.000, 0.000, 0.500).

The calculation puts the formation energy from the elements at -0.053 eV per atom.

Below is crystalline Th2CuC2 at its relaxed geometry, with properties calculated at the PBE-GGA level.

It has space group I4/mmm (No. 139), with a = 3.800 Å, b = 3.800 Å, c = 12.461 Å, α = 90.00°, β = 90.00° and γ = 90.00°. The inequivalent atoms are Th at (0.000, 0.000, 0.150), Cu at (0.000, 0.000, 0.500) and C at (0.000, 0.000, 0.342).

The calculation puts the formation energy from the elements at -0.276 eV per atom.

Below is crystalline LiZn2Cd at its relaxed geometry, with properties calculated at the PBE-GGA level.

It has space group P4/mmm (No. 123), with a = 3.265 Å, b = 3.265 Å, c = 6.211 Å, α = 90.00°, β = 90.00° and γ = 90.00°. The inequivalent atoms are Li at (0.000, 0.000, 0.000), Zn at (0.500, 0.500, 0.216) and Cd at (0.000, 0.000, 0.500).

The calculation puts the formation energy from the elements at -0.084 eV per atom.

Below is crystalline DyY3Ho3 at its relaxed geometry, with properties calculated at the PBE-GGA level.

It has space group R-3 (No. 148, hexagonal axes), with a = 6.1664 Å, b = 6.1664 Å, c = 42.4017 Å, α = 90.00°, β = 90.00° and γ = 120.00°. The inequivalent atoms are Dy at (0.0000, 0.0000, 0.1667), Y at (0.9996, 0.3330, 0.1000) and Ho at (0.0002, 0.3316, 0.6332).

For the polymorph energy (0 for the lowest one), the calculation gives 0 meV/atom. The calculation puts the formation energy from the elements at 0.143 eV per atom.

Below is crystalline SrInGaS2 at its relaxed geometry, with properties calculated at the PBE-GGA level.

It has space group P4/mmm (No. 123), with a = 4.935 Å, b = 4.935 Å, c = 5.648 Å, α = 90.00°, β = 90.00° and γ = 90.00°. The inequivalent atoms are Sr at (0.000, 0.000, 0.000), In at (0.500, 0.500, 0.000), Ga at (0.000, 0.000, 0.500) and S at (0.000, 0.500, 0.500).

For the uncorrected formation energy, the calculation gives -0.069 eV per atom.

Below is crystalline TeRu2Se at its relaxed geometry, with properties calculated at the PBE-GGA level.

It has space group Immm (No. 71), with a = 3.090 Å, b = 5.266 Å, c = 8.637 Å, α = 90.00°, β = 90.00° and γ = 90.00°. The inequivalent atoms are Te at (0.000, 0.000, 0.000), Ru at (0.000, 0.500, 0.237) and Se at (0.000, 0.000, 0.500).

For the polymorph energy (0 for the lowest one), the calculation gives 584 meV/atom. For the uncorrected formation energy, the calculation gives 0.651 eV per atom.

Below is crystalline LiCdInSn at its relaxed geometry, with properties calculated at the PBE-GGA level.

It has space group F-43m (No. 216), with a = 7.216 Å, b = 7.216 Å, c = 7.216 Å, α = 90.00°, β = 90.00° and γ = 90.00°. The inequivalent atoms are Li at (0.000, 0.000, 0.000), Cd at (0.000, 0.000, 0.500), In at (0.250, 0.250, 0.250) and Sn at (0.250, 0.250, 0.750).

For the polymorph energy (0 for the lowest one), the calculation gives 39 meV/atom. The calculation puts the formation energy from the elements at -0.106 eV per atom.